one:
La4Y2Er, relaxed, DFT PBE-GGA; SG = Cc; Fermi-level density of states = 24.823 states/eV/cell
1.0
12.278 -3.154 -1.574
-9.621 8.254 -1.574
0.017 0.034 6.890
Er Y La
2 4 8
direct
0.418 0.668 0.500
0.668 0.418 0.000
0.311 0.627 0.956
0.627 0.311 0.456
0.105 0.921 0.544
0.921 0.105 0.044
0.563 0.600 0.143
0.600 0.563 0.643
0.171 0.707 0.358
0.144 0.037 0.095
0.798 0.190 0.405
0.037 0.144 0.595
0.707 0.171 0.858
0.190 0.798 0.905


two:
La4Y2Er, relaxed, DFT PBE-GGA; SG = Imma; Fermi-level density of states = 19.777 states/eV/cell
1.0
-6.558 0.987 -2.164
-1.985 -4.870 -7.450
-5.767 -6.185 3.412
La Y Er
8 4 2
direct
0.849 0.154 0.149
0.151 0.846 0.851
0.790 0.244 0.744
0.210 0.756 0.256
0.223 0.244 0.744
0.777 0.756 0.256
0.151 0.351 0.346
0.849 0.649 0.654
0.500 0.500 0.500
0.500 0.000 0.000
0.286 0.964 0.464
0.714 0.036 0.536
0.500 0.500 0.000
0.000 0.500 0.000


one is favored, and the nearest alternative lies 151 meV per atom above it.


one:
LaYEr, relaxed, DFT PBE-GGA; SG = P-6m2; Fermi-level density of states = 5.415 states/eV/cell
1.0
3.518 0.000 0.000
0.000 5.705 0.000
0.000 -2.852 4.940
La Er Y
1 1 1
direct
0.167 0.000 0.000
0.166 0.333 0.667
0.667 0.667 0.333


two:
LaYEr, relaxed, DFT PBE-GGA; SG = Cmcm; Fermi-level density of states = 10.493 states/eV/cell
1.0
-3.018 4.153 -0.346
-2.620 -1.566 4.064
3.473 3.074 6.610
Er Y La
2 2 2
direct
0.428 0.506 0.084
0.928 0.003 0.089
0.928 0.341 0.414
0.428 0.168 0.759
0.928 0.671 0.755
0.428 0.838 0.418


three:
LaYEr, relaxed, DFT PBE-GGA; SG = I4mm; Fermi-level density of states = 4.544 states/eV/cell
1.0
-0.903 -1.619 3.109
0.486 -3.237 -1.545
7.532 2.495 1.381
La Y Er
1 1 1
direct
0.332 0.332 0.664
0.004 0.004 0.007
0.664 0.664 0.329


three is favored, and the nearest alternative lies 6 meV per atom above it.


one:
La5Y3Er, relaxed, DFT PBE-GGA; SG = C2/c; Fermi-level density of states = 30.295 states/eV/cell
1.0
-9.309 -4.775 5.612
-4.013 -6.740 8.912
-5.009 3.244 9.969
Y La Er
6 10 2
direct
0.444 0.874 0.197
0.874 0.444 0.697
0.000 0.000 0.500
0.556 0.126 0.803
0.126 0.556 0.303
0.000 0.000 0.000
0.464 0.867 0.880
0.867 0.464 0.380
0.358 0.990 0.513
0.642 0.010 0.487
0.405 0.595 0.750
0.595 0.405 0.250
0.010 0.642 0.987
0.133 0.536 0.620
0.990 0.358 0.013
0.536 0.133 0.120
0.122 0.878 0.250
0.878 0.122 0.750


two:
La5Y3Er, relaxed, DFT PBE-GGA; SG = I4/mcm; Fermi-level density of states = 31.573 states/eV/cell
1.0
-0.860 -0.734 -9.486
7.207 -6.268 -0.168
-7.782 -1.821 5.656
Y La Er
6 10 2
direct
0.250 0.250 0.500
0.891 0.609 0.000
0.391 0.891 0.000
0.109 0.391 0.000
0.750 0.750 0.500
0.609 0.109 0.000
0.838 0.936 0.274
0.064 0.564 0.726
0.662 0.162 0.726
0.338 0.838 0.274
0.000 0.000 0.000
0.564 0.662 0.726
0.500 0.500 0.000
0.436 0.338 0.274
0.936 0.436 0.274
0.162 0.064 0.726
0.250 0.750 0.500
0.750 0.250 0.500


one is favored, and the nearest alternative lies 71 meV per atom above it.


one:
La3Y2Er8, relaxed, DFT PBE-GGA; SG = C2/m; Fermi-level density of states = 22.701 states/eV/cell
1.0
5.576 0.000 0.734
0.000 7.740 0.000
-1.319 -3.870 9.980
Er Y La
8 2 3
direct
0.001 0.672 0.344
0.500 0.402 0.220
0.500 0.183 0.780
0.500 0.817 0.220
0.500 0.598 0.780
0.999 0.328 0.656
0.000 0.136 0.272
0.000 0.864 0.728
0.499 0.241 0.481
0.501 0.759 0.519
0.500 0.000 0.000
0.000 0.700 0.000
0.000 0.300 0.000


two:
La3Y2Er8, relaxed, DFT PBE-GGA; SG = C2/m; Fermi-level density of states = 20.418 states/eV/cell
1.0
5.524 0.617 0.304
-0.841 6.147 2.783
-3.117 -2.622 11.064
Er La Y
8 3 2
direct
0.376 0.978 0.752
0.669 0.478 0.338
0.078 0.403 0.156
0.331 0.522 0.662
0.922 0.597 0.844
0.624 0.022 0.248
0.178 0.738 0.355
0.822 0.262 0.645
0.512 0.705 0.023
0.000 0.000 0.000
0.488 0.295 0.977
0.770 0.811 0.540
0.230 0.189 0.460


two is favored, and the nearest alternative lies 171 meV per atom above it.